DFT (GGA-PBE) results for a relaxed structure of TaReMo.

a = 4.500 Å, b = 4.499 Å, c = 5.547 Å
α = 90.00°, β = 90.00°, γ = 60.00°
Element x y z (fractional)
Ta 0.616 0.430 0.976
Ta 0.282 0.097 0.308
Re 0.949 0.763 0.142
Re 0.616 0.430 0.477
Mo 0.283 0.097 0.805
Mo 0.949 0.763 0.642

Calculated values
- Density of states at the Fermi level: 0.618 states/eV/atom
- Offset from the most stable computed form: 0.00 kJ per mole of atoms
- DFT formation energy: -0.239 eV/atom
- Calculated volume: 97.3 Å³ per cell